[1]
A relaxed structure of Sr2CdN. Source: Alexandria via LeMat-Bulk, functional PBE.

The structure belongs to space group Fm-3m (No. 225); the cell edges are 7.4520, 7.4520 and 7.4520 Å and the angles 90.00°, 90.00° and 90.00°. The distinct sites, in fractional coordinates, are Sr at (0.2500, 0.2500, 0.2500), Cd at (0.0000, 0.0000, 0.0000) and N at (0.0000, 0.0000, 0.5000).

The energy above the most stable polymorph in this dataset comes out at 732 meV per atom. Its uncorrected formation energy is 290 meV/atom.

---

[2]
A relaxed structure of Sr7CdN2. Source: Alexandria via LeMat-Bulk, functional PBE.

The structure belongs to space group Cmmm (No. 65); the cell edges are 9.1127, 19.4228 and 4.1687 Å and the angles 90.00°, 90.00° and 90.00°. The distinct sites, in fractional coordinates, are Sr at (0.0000, 0.0000, 0.0000), Sr at (0.0000, 0.2030, 0.5000), Sr at (0.2205, 0.3780, 0.0000), Cd at (0.0000, 0.5000, 0.5000) and N at (0.0000, 0.1303, 0.0000).

Its uncorrected formation energy is -262 meV/atom.

---

[3]
A relaxed structure of SrCd2N. Source: Alexandria via LeMat-Bulk, functional PBE.

The structure belongs to space group I-42d (No. 122); the cell edges are 8.3725, 8.3725 and 5.1507 Å and the angles 90.00°, 90.00° and 90.00°. The distinct sites, in fractional coordinates, are Sr at (0.0000, 0.0000, 0.0000), Cd at (0.1560, 0.2500, 0.6250) and N at (0.0000, 0.0000, 0.5000).

Its uncorrected formation energy is 139 meV/atom.

---

Total DFT energy (no corrections) across the listed records, respectively: -2.861, -3.195, -2.820 eV per atom.